# Rb5Nd2F12 (PBE, relaxed)
# Calculated total energy   -0.1866 hartree per atom
# Formation energy without anion corrections   -3.14 eV/atom
# Crystal system   monoclinic
data_Rb5Nd2F12
_cell_length_a 14.1078
_cell_length_b 8.3103
_cell_length_c 6.9986
_cell_angle_alpha 90.00
_cell_angle_beta 97.64
_cell_angle_gamma 90.00
_space_group_name_H-M_alt 'C 1 2/m 1'
_space_group_IT_number 12
_space_group_name_Hall '-C 2y'
loop_
_atom_site_label
_atom_site_type_symbol
_atom_site_fract_x
_atom_site_fract_y
_atom_site_fract_z
Rb1 Rb 0.0000 0.0000 0.0000
Rb2 Rb 0.1445 0.5000 0.0303
Rb3 Rb 0.2408 0.0000 0.4678
Nd1 Nd 0.0000 0.2541 0.5000
F1 F 0.0438 0.5000 0.3457
F2 F 0.0680 0.0000 0.6351
F3 F 0.1028 0.2028 0.2681
F4 F 0.1386 0.3039 0.7146

=====

# Ag2Hg2I (PBE, relaxed)
# Calculated total energy   -0.0545 hartree per atom
# Formation energy without anion corrections   0.09 eV/atom
# ΔE to the lowest computed polymorph   0 kJ/mol of formula units
# Crystal system   tetragonal
data_Ag2Hg2I
_cell_length_a 7.8806
_cell_length_b 7.8806
_cell_length_c 4.1453
_cell_angle_alpha 90.00
_cell_angle_beta 90.00
_cell_angle_gamma 90.00
_space_group_name_H-M_alt 'P 4/m b m'
_space_group_IT_number 127
_space_group_name_Hall '-P 4 2ab'
loop_
_atom_site_label
_atom_site_type_symbol
_atom_site_fract_x
_atom_site_fract_y
_atom_site_fract_z
Ag1 Ag 0.1308 0.3692 0.0000
Hg1 Hg 0.1593 0.6593 0.5000
I1 I 0.0000 0.0000 0.0000